# 1
Here is crystalline RbAgWSe2S at its relaxed geometry from OQMD. Energies are from PBE-GGA.

Space group   Cmcm, No. 63
Raw total energy   -59.11 eV for the cell shown
Total magnetization   1.999 μB/f.u.
Volume   25.35 Å³ per atom

Lattice parameters (Å, degrees): 7.953 7.953 9.933 90.00 90.00 151.05
Fractional coordinates of all 12 atoms:
Rb  0.248  0.752  0.750
Rb  0.752  0.248  0.250
Ag  0.457  0.543  0.250
Ag  0.543  0.457  0.750
W  0.000  0.000  0.000
W  0.000  0.000  0.500
Se  0.386  0.614  0.020
Se  0.386  0.614  0.480
Se  0.614  0.386  0.520
Se  0.614  0.386  0.980
S  0.057  0.943  0.250
S  0.943  0.057  0.750

---

# 2
Here is crystalline LaZnIr at its relaxed geometry from OQMD. Energies are from PBE-GGA.

Space group   F-43m, No. 216
Total magnetization   0.000 μB/f.u.
Volume   24.12 Å³ per atom
DFT formation energy   -0.43 eV per atom

Lattice parameters (Å, degrees): 4.678 4.678 4.678 60.00 60.00 60.00
Fractional coordinates of all 3 atoms:
La  0.000  0.000  0.000
Zn  0.500  0.500  0.500
Ir  0.250  0.250  0.250

---

# 3
Here is crystalline Pr2CuGe4Pd at its relaxed geometry from OQMD. Energies are from PBE-GGA.

Space group   Amm2, No. 38
Raw total energy   -42.47 eV for the cell shown
Total magnetization   0.008 μB/f.u.
Volume   20.51 Å³ per atom

Lattice parameters (Å, degrees): 4.366 8.943 8.943 28.03 90.00 90.00
Fractional coordinates of all 8 atoms:
Pr  0.000  0.000  0.000
Pr  0.500  0.213  0.213
Cu  0.000  0.779  0.779
Ge  0.000  0.352  0.352
Ge  0.000  0.642  0.642
Ge  0.500  0.568  0.568
Ge  0.500  0.851  0.851
Pd  0.500  0.425  0.425

---

# 4
Here is crystalline Na2LiIrO6 at its relaxed geometry from OQMD. Energies are from PBE-GGA.

Space group   Fm-3m, No. 225
Raw total energy   -52.64 eV for the cell shown
Total magnetization   0.004 μB/f.u.
Volume   11.17 Å³ per atom

Lattice parameters (Å, degrees): 5.406 5.406 5.406 60.00 60.00 60.00
Fractional coordinates of all 10 atoms:
Na  0.250  0.250  0.250
Na  0.750  0.750  0.750
Li  0.000  0.000  0.000
Ir  0.500  0.500  0.500
O  0.257  0.257  0.743
O  0.257  0.743  0.257
O  0.257  0.743  0.743
O  0.743  0.257  0.257
O  0.743  0.257  0.743
O  0.743  0.743  0.257

---

# 5
Here is crystalline TbGdGa2Br2 at its relaxed geometry from OQMD. Energies are from PBE-GGA.

Space group   P3m1, No. 156
Raw total energy   -26.09 eV for the cell shown
Total magnetization   0.009 μB/f.u.
Volume   28.04 Å³ per atom

Lattice parameters (Å, degrees): 4.146 4.146 11.299 90.00 90.00 120.00
Fractional coordinates of all 6 atoms:
Tb  0.000  0.000  0.000
Gd  0.000  0.000  0.635
Ga  0.333  0.667  0.848
Ga  0.667  0.333  0.788
Br  0.333  0.667  0.478
Br  0.667  0.333  0.156

---

# 6
Here is crystalline TlCoPdW at its relaxed geometry from OQMD. Energies are from PBE-GGA.

Distance to the lowest polymorph of the same formula   144 meV per atom
Space group   F-43m, No. 216
Total magnetization   0.047 μB/f.u.
Volume   15.96 Å³ per atom

Lattice parameters (Å, degrees): 4.486 4.486 4.486 60.00 60.00 60.00
Fractional coordinates of all 4 atoms:
Tl  0.000  0.000  0.000
Co  0.250  0.250  0.250
Pd  0.500  0.500  0.500
W  0.750  0.750  0.750

---

# 7
Here is crystalline TmAsNO at its relaxed geometry from OQMD. Energies are from PBE-GGA.

Distance to the lowest polymorph of the same formula   268 meV per atom
Space group   Pmc2_1, No. 26
Total magnetization   0.001 μB/f.u.
Volume   17.03 Å³ per atom

Lattice parameters (Å, degrees): 3.882 5.913 5.935 90.00 90.00 90.00
Fractional coordinates of all 8 atoms:
Tm  0.000  0.202  0.000
Tm  0.000  0.798  0.500
As  0.500  0.332  0.393
As  0.500  0.668  0.893
N  0.500  0.405  0.069
N  0.500  0.595  0.569
O  0.000  0.096  0.675
O  0.000  0.904  0.175

---

# 8
Here is crystalline Sc3Co at its relaxed geometry from OQMD. Energies are from PBE-GGA.

Space group   Pnma, No. 62
Total magnetization   0.194 μB/f.u.
Volume   20.09 Å³ per atom
DFT formation energy   -0.22 eV per atom

Lattice parameters (Å, degrees): 12.983 8.545 5.794 90.00 90.00 90.00
Fractional coordinates of all 32 atoms:
Sc  0.035  0.064  0.246
Sc  0.035  0.436  0.246
Sc  0.109  0.250  0.712
Sc  0.146  0.750  0.453
Sc  0.213  0.567  0.908
Sc  0.213  0.933  0.908
Sc  0.287  0.067  0.408
Sc  0.287  0.433  0.408
Sc  0.354  0.250  0.953
Sc  0.391  0.750  0.212
Sc  0.465  0.564  0.746
Sc  0.465  0.936  0.746
Sc  0.535  0.064  0.254
Sc  0.535  0.436  0.254
Sc  0.609  0.250  0.788
Sc  0.646  0.750  0.047
Sc  0.713  0.567  0.592
Sc  0.713  0.933  0.592
Sc  0.787  0.067  0.092
Sc  0.787  0.433  0.092
Sc  0.854  0.250  0.547
Sc  0.891  0.750  0.288
Sc  0.965  0.564  0.754
Sc  0.965  0.936  0.754
Co  0.059  0.750  0.055
Co  0.180  0.250  0.128
Co  0.320  0.750  0.628
Co  0.441  0.250  0.555
Co  0.559  0.750  0.445
Co  0.680  0.250  0.372
Co  0.820  0.750  0.872
Co  0.941  0.250  0.945

---

# 9
Here is crystalline Lu2Sc2In5Ni2 at its relaxed geometry from OQMD. Energies are from PBE-GGA.

Distance to the lowest polymorph of the same formula   0 meV per atom
Space group   P2/m, No. 10
Total magnetization   0.001 μB/f.u.
Volume   21.57 Å³ per atom

Lattice parameters (Å, degrees): 7.559 3.401 9.264 90.00 94.81 90.00
Fractional coordinates of all 11 atoms:
Lu  0.208  0.000  0.436
Lu  0.792  0.000  0.564
Sc  0.185  0.000  0.841
Sc  0.815  0.000  0.159
In  0.150  0.500  0.136
In  0.453  0.500  0.673
In  0.500  0.500  0.000
In  0.547  0.500  0.327
In  0.850  0.500  0.864
Ni  0.074  0.500  0.635
Ni  0.926  0.500  0.365

---

# 10
Here is crystalline TaCuNiHg at its relaxed geometry from OQMD. Energies are from PBE-GGA.

Distance to the lowest polymorph of the same formula   0 meV per atom
Space group   F-43m, No. 216
Total magnetization   0.001 μB/f.u.
Volume   14.93 Å³ per atom
DFT formation energy   0.13 eV per atom

Lattice parameters (Å, degrees): 4.388 4.388 4.388 60.00 60.00 60.00
Fractional coordinates of all 4 atoms:
Ta  0.000  0.000  0.000
Cu  0.250  0.250  0.250
Ni  0.750  0.750  0.750
Hg  0.500  0.500  0.500

---

# 11
Here is crystalline YCoAu2 at its relaxed geometry from OQMD. Energies are from PBE-GGA.

Space group   F-43m, No. 216
Total magnetization   1.104 μB/f.u.
Volume   18.70 Å³ per atom
DFT formation energy   -0.25 eV per atom

Lattice parameters (Å, degrees): 4.729 4.729 4.729 60.00 60.00 60.00
Fractional coordinates of all 4 atoms:
Y  0.000  0.000  0.000
Co  0.250  0.250  0.250
Au  0.500  0.500  0.500
Au  0.750  0.750  0.750

---

# 12
Here is crystalline Re2SnAu at its relaxed geometry from OQMD. Energies are from PBE-GGA.

Space group   F-43m, No. 216
Raw total energy   -29.11 eV for the cell shown
Total magnetization   0.006 μB/f.u.
Volume   17.11 Å³ per atom

Lattice parameters (Å, degrees): 4.591 4.591 4.591 60.00 60.00 60.00
Fractional coordinates of all 4 atoms:
Re  0.000  0.000  0.000
Re  0.250  0.250  0.250
Sn  0.500  0.500  0.500
Au  0.750  0.750  0.750

---

Which of these has the highest total magnetization?
RbAgWSe2S